Computed, not measured: a relaxed structure of RbBaV2Ga at the PBE level of DFT.

Unit cell a=5.2408 b=5.2408 c=6.1624 alpha=90.00 beta=90.00 gamma=90.00
Fractional positions:
1 Rb 0.0000 0.0000 0.0000
2 Ba 0.5000 0.5000 0.0000
3 V 0.0000 0.5000 0.5000
4 V 0.5000 0.0000 0.5000
5 Ga 0.5000 0.5000 0.5000

Computed, not measured: a relaxed structure of BaGaRe at the PBE level of DFT.

Unit cell a=4.3385 b=4.3385 c=11.5593 alpha=101.10 beta=101.10 gamma=60.02
Fractional positions:
1 Ba 0.0000 0.0000 0.0000
2 Ba 0.2114 0.2114 0.6166
3 Ga 0.4001 0.4001 0.1944
4 Ga 0.4816 0.4816 0.4321
5 Re 0.1039 0.1039 0.3022
6 Re 0.7828 0.7828 0.3383

Calculated values
ΔE to the lowest computed polymorph	74.4	meV/atom

Computed, not measured: a relaxed structure of BaGa3Re at the PBE level of DFT.

Unit cell a=4.9430 b=4.9430 c=4.9430 alpha=90.00 beta=90.00 gamma=90.00
Fractional positions:
1 Ba 0.0000 0.0000 0.0000
2 Ga 0.0000 0.5000 0.5000
3 Ga 0.5000 0.0000 0.5000
4 Ga 0.5000 0.5000 0.0000
5 Re 0.5000 0.5000 0.5000

Calculated values
ΔE to the lowest computed polymorph	0.0	meV/atom

Computed, not measured: a relaxed structure of BaGaRe at the PBE level of DFT.

Unit cell a=4.3304 b=4.3305 c=11.4117 alpha=89.86 beta=79.15 gamma=60.01
Fractional positions:
1 Ba 0.0323 0.2360 0.1971
2 Ba 0.9677 0.7640 0.8029
3 Ga 0.4214 0.0384 0.6194
4 Ga 0.5786 0.9616 0.3806
5 Re 0.1808 0.6597 0.4784
6 Re 0.8192 0.3403 0.5216

Calculated values
ΔE to the lowest computed polymorph	0.0	meV/atom

Computed, not measured: a relaxed structure of BaGaRe3 at the PBE level of DFT.

Unit cell a=4.7999 b=4.7999 c=4.7999 alpha=90.00 beta=90.00 gamma=90.00
Fractional positions:
1 Ba 0.0000 0.0000 0.0000
2 Ga 0.5000 0.5000 0.5000
3 Re 0.0000 0.5000 0.5000
4 Re 0.5000 0.0000 0.5000
5 Re 0.5000 0.5000 0.0000

Calculated values
ΔE to the lowest computed polymorph	0.0	meV/atom

Computed, not measured: a relaxed structure of BaGaRe3 at the PBE level of DFT.

Unit cell a=5.0956 b=5.0956 c=5.0956 alpha=90.00 beta=90.00 gamma=90.00
Fractional positions:
1 Ba 0.0000 0.0000 0.0000
2 Ga 0.5000 0.5000 0.5000
3 Re 0.0000 0.0000 0.5000
4 Re 0.0000 0.5000 0.0000
5 Re 0.5000 0.0000 0.0000

Calculated values
ΔE to the lowest computed polymorph	2008.9	meV/atom

Computed, not measured: a relaxed structure of BaGaRe at the PBE level of DFT.

Unit cell a=4.2839 b=4.1488 c=9.9529 alpha=90.00 beta=93.86 gamma=90.00
Fractional positions:
1 Ba 0.2286 0.2500 0.3075
2 Ba 0.7714 0.7500 0.6925
3 Ga 0.3192 0.2500 0.8449
4 Ga 0.6808 0.7500 0.1551
5 Re 0.1602 0.7500 0.0012
6 Re 0.8398 0.2500 0.9988

Calculated values
ΔE to the lowest computed polymorph	128.9	meV/atom

Computed, not measured: a relaxed structure of Ba2GaRe at the PBE level of DFT.

Unit cell a=5.5844 b=5.5844 c=5.5844 alpha=60.00 beta=60.00 gamma=60.00
Fractional positions:
1 Ba 0.2500 0.2500 0.2500
2 Ba 0.7500 0.7500 0.7500
3 Ga 0.0000 0.0000 0.0000
4 Re 0.5000 0.5000 0.5000

no.,Fermi-level density of states (states/eV per cell),ΔH_f (0 K) (eV/atom)
1,6.86,0.9180
2,4.06,-0.0120
3,1.13,-0.3389
4,2.27,-0.0864
5,7.39,1.8328
6,7.66,3.8417
7,3.99,0.0424
8,6.32,0.8312